No. 1
Ca2AgCl: optimized geometry, GGA-PBEsol.

Values from the calculation:
The calculated volume is 26.14 Å³/atom. The offset from the most stable computed form comes out at 0.0000 eV/atom. The total magnetization is 0.0 Bohr magnetons per cell. As for the space-group type: R-3m. As for the crystal system: trigonal. The value obtained for the uncorrected formation energy is -914 meV per atom.

Cell and atoms, written as POSCAR:
```
Ca2AgCl
1.0
3.964 0.000 0.000
-1.982 3.433 0.000
0.000 0.000 23.052
Ca Ag Cl
6 3 3
direct
0.000 0.000 0.248 Ca
0.000 0.000 0.752 Ca
0.333 0.667 0.419 Ca
0.333 0.667 0.914 Ca
0.667 0.333 0.086 Ca
0.667 0.333 0.581 Ca
0.000 0.000 0.500 Ag
0.333 0.667 0.167 Ag
0.667 0.333 0.833 Ag
0.000 0.000 0.000 Cl
0.333 0.667 0.667 Cl
0.667 0.333 0.333 Cl
```

No. 2
Ca2AgHgCl: optimized geometry, GGA-PBEsol.

Values from the calculation:
The calculated volume is 32.32 Å³/atom. The total magnetization is 0.0 Bohr magnetons per cell. As for the space-group type: P4/mmm. As for the crystal system: tetragonal. The value obtained for the uncorrected formation energy is -142 meV per atom.

Cell and atoms, written as POSCAR:
```
Ca2AgHgCl
1.0
5.682 0.000 0.000
0.000 5.682 0.000
0.000 0.000 5.005
Ca Ag Hg Cl
2 1 1 1
direct
0.000 0.500 0.000 Ca
0.500 0.000 0.000 Ca
0.000 0.000 0.000 Ag
0.500 0.500 0.500 Hg
0.000 0.000 0.500 Cl
```

No. 3
CaAgN2Cl: optimized geometry, GGA-PBEsol.

Values from the calculation:
The calculated volume is 18.58 Å³/atom. The total magnetization is 2.8 Bohr magnetons per cell. As for the space-group type: P4/mmm. As for the crystal system: tetragonal. The value obtained for the uncorrected formation energy is 673 meV per atom.

Cell and atoms, written as POSCAR:
```
CaAgN2Cl
1.0
3.976 0.000 0.000
0.000 3.976 0.000
0.000 0.000 5.879
Ca Ag N Cl
1 1 2 1
direct
0.000 0.000 0.000 Ca
0.000 0.000 0.500 Ag
0.000 0.500 0.500 N
0.500 0.000 0.500 N
0.500 0.500 0.000 Cl
```

No. 4
CaNb2AgCl: optimized geometry, GGA-PBEsol.

Values from the calculation:
The calculated volume is 20.89 Å³/atom. The total magnetization is 0.0 Bohr magnetons per cell. As for the space-group type: P4/mmm. As for the crystal system: tetragonal. The value obtained for the uncorrected formation energy is 432 meV per atom.

Cell and atoms, written as POSCAR:
```
CaNb2AgCl
1.0
4.535 0.000 0.000
0.000 4.535 0.000
0.000 0.000 5.077
Ca Nb Ag Cl
1 2 1 1
direct
0.000 0.000 0.000 Ca
0.000 0.500 0.500 Nb
0.500 0.000 0.500 Nb
0.500 0.500 0.000 Ag
0.000 0.000 0.500 Cl
```

No. 5
CaCoAg2: optimized geometry, GGA-PBEsol.

Values from the calculation:
The calculated volume is 17.66 Å³/atom. The offset from the most stable computed form comes out at 0.0361 eV/atom. The formation energy comes out at 290 meV per atom. The total magnetization is 4.9 Bohr magnetons per cell. As for the space-group type: F-43m. As for the crystal system: cubic.

Cell and atoms, written as POSCAR:
```
CaCoAg2
1.0
6.562 0.000 0.000
0.000 6.562 0.000
0.000 0.000 6.562
Ca Co Ag
4 4 8
direct
0.000 0.000 0.000 Ca
0.000 0.500 0.500 Ca
0.500 0.000 0.500 Ca
0.500 0.500 0.000 Ca
0.250 0.250 0.750 Co
0.250 0.750 0.250 Co
0.750 0.250 0.250 Co
0.750 0.750 0.750 Co
0.000 0.000 0.500 Ag
0.000 0.500 0.000 Ag
0.250 0.250 0.250 Ag
0.250 0.750 0.750 Ag
0.500 0.000 0.000 Ag
0.500 0.500 0.500 Ag
0.750 0.250 0.750 Ag
0.750 0.750 0.250 Ag
```

No. 6
CaCoAg2: optimized geometry, GGA-PBEsol.

Values from the calculation:
The calculated volume is 17.63 Å³/atom. The offset from the most stable computed form comes out at 0.2777 eV/atom. The formation energy comes out at 532 meV per atom. The total magnetization is 5.3 Bohr magnetons per cell. As for the space-group type: R-3m. As for the crystal system: trigonal.

Cell and atoms, written as POSCAR:
```
CaCoAg2
1.0
2.969 0.000 0.000
-1.485 2.572 0.000
0.000 0.000 27.701
Ca Co Ag
3 3 6
direct
0.000 0.000 0.000 Ca
0.333 0.667 0.667 Ca
0.667 0.333 0.333 Ca
0.000 0.000 0.500 Co
0.333 0.667 0.167 Co
0.667 0.333 0.833 Co
0.000 0.000 0.241 Ag
0.000 0.000 0.759 Ag
0.333 0.667 0.426 Ag
0.333 0.667 0.907 Ag
0.667 0.333 0.093 Ag
0.667 0.333 0.574 Ag
```